Arrangement a

# TmHfIr2

TmHfIr2 after structural relaxation (PBE, the Alexandria database).

Properties
DOS(E_F) ... 1.878 states/eV/cell

Cell lengths 4.709, 4.709, 4.709 Å; angles 60.00, 60.00, 60.00 degrees
Element x y z (fractional)
1 Tm 0.000 0.000 0.000
2 Ir 0.250 0.250 0.250
3 Ir 0.750 0.750 0.750
4 Hf 0.500 0.500 0.500



Arrangement b

# TmHfIr2

TmHfIr2 after structural relaxation (PBE, the Alexandria database).

Properties
DOS(E_F) ... 3.136 states/eV/cell

Cell lengths 3.301, 3.301, 6.823 Å; angles 90.00, 90.00, 90.00 degrees
Element x y z (fractional)
1 Tm 0.500 0.500 0.500
2 Ir 0.000 0.000 0.771
3 Ir 0.000 0.000 0.229
4 Hf 0.500 0.500 0.000



In terms of stability, arrangement b leads; the second structure lies 0.044 eV/atom higher.